A plane-wave DFT calculation with PBE was carried out for a geometry-optimized Sr2PmAl2As4 structure.

abc: 15.471 4.190 7.512
angles: 90.00 108.65 90.00
Space group C2/m (No. 12)
One atom of each set of equivalent atoms:
Sr: 0.127 0.000 0.052 (multiplicity 4)
Pm: 0.000 0.000 0.500 (multiplicity 2)
Al: 0.173 0.500 0.485 (multiplicity 4)
As: 0.023 0.500 0.236 (multiplicity 4)
As: 0.211 0.000 0.698 (multiplicity 4)

Output
The calculation puts the theoretical density at 4.85 g cm⁻³. The final energy is -85.00 eV per cell.